The following is a PBE-GGA calculation of a geometry-optimized CrTcIr structure, from the Alexandria database.

The energy above the most stable polymorph in this dataset comes out at 0.088 eV per atom. The formation energy from the elements comes out at 0.025 eV per atom. As for the spin magnetization: 0.117 μB/atom.

It has space group P3m1 (No. 156), with a = 2.6925 Å, b = 2.6925 Å, c = 6.5773 Å, α = 90.00°, β = 90.00° and γ = 120.00°. The asymmetric unit holds Cr at (0.0000, 0.0000, 0.0000), Tc at (0.3333, 0.6667, 0.6757) and Ir at (0.6667, 0.3333, 0.3183).

The following is a PBE-GGA calculation of a geometry-optimized Cr2TcIr structure, from the Alexandria database.

The formation energy from the elements comes out at -0.012 eV per atom. As for the spin magnetization: 0.000 μB/atom.

It has space group Amm2 (No. 38), with a = 4.015 Å, b = 2.671 Å, c = 9.834 Å, α = 90.00°, β = 90.00° and γ = 90.00°. The asymmetric unit holds Cr at (0.000, 0.000, 0.000), Cr at (0.500, 0.000, 0.125), Tc at (0.500, 0.000, 0.389) and Ir at (0.000, 0.000, 0.732).

The following is a PBE-GGA calculation of a geometry-optimized CrTcIr6 structure, from the Alexandria database.

The formation energy from the elements comes out at -0.174 eV per atom. As for the spin magnetization: 0.281 μB/atom.

It has space group P4/mmm (No. 123), with a = 5.447 Å, b = 5.447 Å, c = 3.851 Å, α = 90.00°, β = 90.00° and γ = 90.00°. The asymmetric unit holds Cr at (0.000, 0.000, 0.000), Tc at (0.500, 0.500, 0.000), Ir at (0.000, 0.500, 0.000) and Ir at (0.250, 0.250, 0.500).

The following is a PBE-GGA calculation of a geometry-optimized Cr5TcIr6 structure, from the Alexandria database.

The formation energy from the elements comes out at -0.193 eV per atom. As for the spin magnetization: 0.037 μB/atom.

It has space group Immm (No. 71), with a = 3.800 Å, b = 7.508 Å, c = 11.408 Å, α = 90.00°, β = 90.00° and γ = 90.00°. The asymmetric unit holds Cr at (0.000, 0.000, 0.000), Cr at (0.000, 0.000, 0.335), Cr at (0.000, 0.500, 0.333), Tc at (0.000, 0.500, 0.000), Ir at (0.000, 0.247, 0.168) and Ir at (0.000, 0.255, 0.500).

The following is a PBE-GGA calculation of a geometry-optimized Cr2TcIr structure, from the Alexandria database.

The formation energy from the elements comes out at 0.001 eV per atom. As for the spin magnetization: 0.000 μB/atom.

It has space group I4/mmm (No. 139), with a = 3.795 Å, b = 3.795 Å, c = 7.366 Å, α = 90.00°, β = 90.00° and γ = 90.00°. The asymmetric unit holds Cr at (0.000, 0.500, 0.250), Tc at (0.000, 0.000, 0.000) and Ir at (0.000, 0.000, 0.500).

The following is a PBE-GGA calculation of a geometry-optimized Cr2TcIr structure, from the Alexandria database.

The formation energy from the elements comes out at 0.007 eV per atom. As for the spin magnetization: 0.000 μB/atom.

It has space group Cmmm (No. 65), with a = 5.372 Å, b = 7.396 Å, c = 2.668 Å, α = 90.00°, β = 90.00° and γ = 90.00°. The asymmetric unit holds Cr at (0.250, 0.250, 0.000), Tc at (0.000, 0.000, 0.500) and Ir at (0.000, 0.500, 0.500).

The following is a PBE-GGA calculation of a geometry-optimized Cr2TcIr structure, from the Alexandria database.

The formation energy from the elements comes out at 0.650 eV per atom. As for the spin magnetization: 0.000 μB/atom.

It has space group I-42d (No. 122), with a = 3.797 Å, b = 3.797 Å, c = 16.369 Å, α = 90.00°, β = 90.00° and γ = 90.00°. The asymmetric unit holds Cr at (0.240, 0.250, 0.125), Tc at (0.000, 0.000, 0.000) and Ir at (0.000, 0.000, 0.500).

The following is a PBE-GGA calculation of a geometry-optimized Cr2TcIr structure, from the Alexandria database.

The formation energy from the elements comes out at 0.178 eV per atom. As for the spin magnetization: 0.000 μB/atom.

It has space group Cmm2 (No. 35), with a = 2.889 Å, b = 4.407 Å, c = 8.406 Å, α = 90.00°, β = 90.00° and γ = 90.00°. The asymmetric unit holds Cr at (0.000, 0.000, 0.000), Cr at (0.000, 0.500, 0.220), Tc at (0.000, 0.000, 0.466) and Ir at (0.000, 0.500, 0.746).

The following is a PBE-GGA calculation of a geometry-optimized Cr2TcIr2 structure, from the Alexandria database.

The energy above the most stable polymorph in this dataset comes out at 0.000 eV per atom. The formation energy from the elements comes out at 0.001 eV per atom. As for the spin magnetization: 0.000 μB/atom.

It has space group P4/mbm (No. 127), with a = 7.155 Å, b = 7.155 Å, c = 2.690 Å, α = 90.00°, β = 90.00° and γ = 90.00°. The asymmetric unit holds Cr at (0.116, 0.384, 0.000), Tc at (0.000, 0.000, 0.000) and Ir at (0.176, 0.676, 0.500).

The following is a PBE-GGA calculation of a geometry-optimized CrTcIr structure, from the Alexandria database.

The energy above the most stable polymorph in this dataset comes out at 0.029 eV per atom. The formation energy from the elements comes out at -0.034 eV per atom. As for the spin magnetization: 0.001 μB/atom.

It has space group Imm2 (No. 44), with a = 2.676 Å, b = 3.781 Å, c = 8.125 Å, α = 90.00°, β = 90.00° and γ = 90.00°. The asymmetric unit holds Cr at (0.000, 0.000, 0.000), Tc at (0.000, 0.000, 0.664) and Ir at (0.000, 0.000, 0.338).

The following is a PBE-GGA calculation of a geometry-optimized Cr2TcIr structure, from the Alexandria database.

The formation energy from the elements comes out at 0.028 eV per atom. As for the spin magnetization: 0.000 μB/atom.

It has space group Imm2 (No. 44), with a = 2.884 Å, b = 4.280 Å, c = 8.542 Å, α = 90.00°, β = 90.00° and γ = 90.00°. The asymmetric unit holds Cr at (0.000, 0.000, 0.000), Cr at (0.000, 0.500, 0.293), Tc at (0.000, 0.000, 0.536) and Ir at (0.000, 0.500, 0.758).

The following is a PBE-GGA calculation of a geometry-optimized Cr2TcIr structure, from the Alexandria database.

The formation energy from the elements comes out at 0.023 eV per atom. As for the spin magnetization: 0.001 μB/atom.

It has space group Cm (No. 8), with a = 8.819 Å, b = 2.670 Å, c = 4.577 Å, α = 90.00°, β = 99.87° and γ = 90.00°. The asymmetric unit holds Cr at (0.000, 0.000, 0.000), Cr at (0.248, 0.500, 0.252), Tc at (0.004, 0.500, 0.493) and Ir at (0.255, 0.000, 0.768).

The following is a PBE-GGA calculation of a geometry-optimized Cr2TcIr2 structure, from the Alexandria database.

The energy above the most stable polymorph in this dataset comes out at 0.037 eV per atom. The formation energy from the elements comes out at 0.038 eV per atom. As for the spin magnetization: 0.000 μB/atom.

It has space group P4/mbm (No. 127), with a = 7.226 Å, b = 7.226 Å, c = 2.674 Å, α = 90.00°, β = 90.00° and γ = 90.00°. The asymmetric unit holds Cr at (0.169, 0.331, 0.000), Tc at (0.000, 0.000, 0.500) and Ir at (0.129, 0.629, 0.500).

The following is a PBE-GGA calculation of a geometry-optimized CrTcIr structure, from the Alexandria database.

The energy above the most stable polymorph in this dataset comes out at 0.041 eV per atom. The formation energy from the elements comes out at -0.022 eV per atom. As for the spin magnetization: 0.002 μB/atom.

It has space group I4mm (No. 107), with a = 2.689 Å, b = 2.689 Å, c = 11.366 Å, α = 90.00°, β = 90.00° and γ = 90.00°. The asymmetric unit holds Cr at (0.000, 0.000, 0.000), Tc at (0.000, 0.000, 0.337) and Ir at (0.000, 0.000, 0.661).